[1]
DFT (PBE) results for a relaxed NaLaPt crystal.

It has space group F-43m (No. 216), with a = 6.702 Å, b = 6.702 Å, c = 6.702 Å, α = 90.00°, β = 90.00° and γ = 90.00°. The asymmetric unit holds Na at (0.000, 0.000, 0.000), La at (0.250, 0.250, 0.750) and Pt at (0.250, 0.250, 0.250).

For the calculated total energy, the calculation gives -4.13 eV per atom.

[2]
DFT (PBE) results for a relaxed NbZnNiPd crystal.

It has space group F-43m (No. 216), with a = 6.195 Å, b = 6.195 Å, c = 6.195 Å, α = 90.00°, β = 90.00° and γ = 90.00°. The asymmetric unit holds Nb at (0.000, 0.000, 0.000), Zn at (0.250, 0.250, 0.250), Ni at (0.000, 0.000, 0.500) and Pd at (0.250, 0.250, 0.750).

The calculation puts the energy relative to the elements at -7 kJ per mole of atoms. For the energy above the most stable polymorph in this dataset, the calculation gives 148 meV per atom.

[3]
DFT (PBE) results for a relaxed Gd2Ho2SiCl5 crystal.

It has space group C2/m (No. 12), with a = 17.498 Å, b = 3.943 Å, c = 8.180 Å, α = 90.00°, β = 102.27° and γ = 90.00°. The asymmetric unit holds Gd at (0.001, 0.000, 0.269), Ho at (0.154, 0.500, 0.582), Si at (0.000, 0.500, 0.500), Cl at (0.000, 0.500, 0.000), Cl at (0.167, 0.000, 0.815) and Cl at (0.176, 0.000, 0.356).

For the calculated total energy, the calculation gives -5.01 eV per atom.

[4]
DFT (PBE) results for a relaxed Li2La2Tl2CuAg crystal.

It has space group P-4m2 (No. 115), with a = 4.983 Å, b = 4.983 Å, c = 7.087 Å, α = 90.00°, β = 90.00° and γ = 90.00°. The asymmetric unit holds Li at (0.000, 0.000, 0.000), Li at (0.500, 0.500, 0.500), La at (0.000, 0.500, 0.739), Tl at (0.000, 0.500, 0.256), Cu at (0.000, 0.000, 0.500) and Ag at (0.500, 0.500, 0.000).

For the calculated total energy, the calculation gives -3.40 eV per atom.

[5]
DFT (PBE) results for a relaxed Lu2InFe crystal.

It has space group F-43m (No. 216), with a = 6.908 Å, b = 6.908 Å, c = 6.908 Å, α = 90.00°, β = 90.00° and γ = 90.00°. The asymmetric unit holds Lu at (0.000, 0.000, 0.000), Lu at (0.250, 0.250, 0.250), In at (0.000, 0.000, 0.500) and Fe at (0.250, 0.250, 0.750).

For the calculated total energy, the calculation gives -4.93 eV per atom.

[6]
DFT (PBE) results for a relaxed NaSmO3 crystal.

It has space group R-3c (No. 167, hexagonal axes), with a = 6.1063 Å, b = 6.1063 Å, c = 14.4457 Å, α = 90.00°, β = 90.00° and γ = 120.00°. The asymmetric unit holds Na at (0.0000, 0.0000, 0.2500), Sm at (0.0000, 0.0000, 0.0000) and O at (0.0000, 0.3730, 0.2500).

For the calculated total energy, the calculation gives -5.89 eV per atom.

[7]
DFT (PBE) results for a relaxed LaTl5Ni crystal.

It has space group P4/mmm (No. 123), with a = 4.830 Å, b = 4.830 Å, c = 7.919 Å, α = 90.00°, β = 90.00° and γ = 90.00°. The asymmetric unit holds La at (0.000, 0.000, 0.000), Tl at (0.000, 0.500, 0.308), Tl at (0.500, 0.500, 0.000) and Ni at (0.000, 0.000, 0.500).

For the calculated total energy, the calculation gives -3.33 eV per atom.

[8]
DFT (PBE) results for a relaxed RePbNO crystal.

It has space group Pmc2_1 (No. 26), with a = 3.496 Å, b = 6.125 Å, c = 6.444 Å, α = 90.00°, β = 90.00° and γ = 90.00°. The asymmetric unit holds Re at (0.000, 0.093, 0.000), Pb at (0.500, 0.324, 0.456), N at (0.000, 0.135, 0.717) and O at (0.500, 0.205, 0.074).

For the energy above the most stable polymorph in this dataset, the calculation gives 102 meV per atom.

[9]
DFT (PBE) results for a relaxed ZnFeOsPt crystal.

It has space group F-43m (No. 216), with a = 6.106 Å, b = 6.106 Å, c = 6.106 Å, α = 90.00°, β = 90.00° and γ = 90.00°. The asymmetric unit holds Zn at (0.000, 0.000, 0.000), Fe at (0.250, 0.250, 0.250), Os at (0.000, 0.000, 0.500) and Pt at (0.250, 0.250, 0.750).

The calculation puts the energy relative to the elements at 21 kJ per mole of atoms. For the energy above the most stable polymorph in this dataset, the calculation gives 0 meV per atom.

[10]
DFT (PBE) results for a relaxed Li2AlTlAg2Au2 crystal.

It has space group P-4m2 (No. 115), with a = 4.459 Å, b = 4.459 Å, c = 6.987 Å, α = 90.00°, β = 90.00° and γ = 90.00°. The asymmetric unit holds Li at (0.000, 0.000, 0.000), Li at (0.500, 0.500, 0.500), Al at (0.000, 0.000, 0.500), Tl at (0.500, 0.500, 0.000), Ag at (0.000, 0.500, 0.725) and Au at (0.000, 0.500, 0.290).

For the calculated total energy, the calculation gives -3.08 eV per atom.

[11]
DFT (PBE) results for a relaxed Li2Nb2AlGaPt2 crystal.

It has space group P-4m2 (No. 115), with a = 4.414 Å, b = 4.414 Å, c = 6.250 Å, α = 90.00°, β = 90.00° and γ = 90.00°. The asymmetric unit holds Li at (0.000, 0.500, 0.245), Nb at (0.000, 0.000, 0.000), Nb at (0.500, 0.500, 0.500), Al at (0.000, 0.000, 0.500), Ga at (0.500, 0.500, 0.000) and Pt at (0.000, 0.500, 0.736).

For the calculated total energy, the calculation gives -5.80 eV per atom.

[12]
DFT (PBE) results for a relaxed Pr2Ho2CI2Cl3 crystal.

It has space group C2/m (No. 12), with a = 18.005 Å, b = 3.869 Å, c = 8.100 Å, α = 90.00°, β = 101.21° and γ = 90.00°. The asymmetric unit holds Pr at (0.143, 0.000, 0.064), Ho at (0.003, 0.500, 0.797), C at (0.000, 0.000, 0.000), I at (0.164, 0.500, 0.372), Cl at (0.000, 0.000, 0.500) and Cl at (0.160, 0.500, 0.813).

For the energy above the most stable polymorph in this dataset, the calculation gives 42 meV per atom.

[13]
DFT (PBE) results for a relaxed SiAsIrO crystal.

It has space group P4/nmm (No. 129, origin choice 2), with a = 3.665 Å, b = 3.665 Å, c = 8.203 Å, α = 90.00°, β = 90.00° and γ = 90.00°. The asymmetric unit holds Si at (0.250, 0.750, 0.000), As at (0.250, 0.250, 0.242), Ir at (0.250, 0.250, 0.659) and O at (0.250, 0.750, 0.500).

For the energy above the most stable polymorph in this dataset, the calculation gives 1296 meV per atom.

[14]
DFT (PBE) results for a relaxed NiBr3 crystal.

It has space group I4/mmm (No. 139), with a = 3.886 Å, b = 3.886 Å, c = 14.353 Å, α = 90.00°, β = 90.00° and γ = 90.00°. The asymmetric unit holds Ni at (0.000, 0.000, 0.000), Br at (0.000, 0.000, 0.500) and Br at (0.000, 0.500, 0.250).

For the calculated total energy, the calculation gives -2.23 eV per atom.

[15]
DFT (PBE) results for a relaxed Al2TeIr crystal.

It has space group F-43m (No. 216), with a = 6.623 Å, b = 6.623 Å, c = 6.623 Å, α = 90.00°, β = 90.00° and γ = 90.00°. The asymmetric unit holds Al at (0.000, 0.000, 0.000), Al at (0.250, 0.250, 0.250), Te at (0.000, 0.000, 0.500) and Ir at (0.250, 0.250, 0.750).

For the calculated total energy, the calculation gives -4.69 eV per atom.

[16]
DFT (PBE) results for a relaxed Zn2SiGeAs4 crystal.

It has space group I-4 (No. 82), with a = 5.713 Å, b = 5.713 Å, c = 11.171 Å, α = 90.00°, β = 90.00° and γ = 90.00°. The asymmetric unit holds Zn at (0.000, 0.000, 0.000), Zn at (0.000, 0.500, 0.250), Si at (0.000, 0.000, 0.500), Ge at (0.000, 0.500, 0.750) and As at (0.243, 0.244, 0.622).

For the calculated total energy, the calculation gives -4.08 eV per atom.

[17]
DFT (PBE) results for a relaxed Dy2LuIn3CuNi2 crystal.

It has space group Amm2 (No. 38), with a = 3.812 Å, b = 12.864 Å, c = 7.429 Å, α = 90.00°, β = 90.00° and γ = 90.00°. The asymmetric unit holds Dy at (0.000, 0.206, 0.000), Lu at (0.000, 0.000, 0.381), In at (0.500, 0.000, 0.054), In at (0.500, 0.128, 0.663), Cu at (0.000, 0.000, 0.792) and Ni at (0.500, 0.165, 0.294).

For the calculated total energy, the calculation gives -4.57 eV per atom.

[18]
DFT (PBE) results for a relaxed Dy3YAs4 crystal.

It has space group Cmmm (No. 65), with a = 8.229 Å, b = 11.638 Å, c = 4.116 Å, α = 90.00°, β = 90.00° and γ = 90.00°. The asymmetric unit holds Dy at (0.000, 0.000, 0.000), Dy at (0.250, 0.250, 0.500), Y at (0.000, 0.500, 0.000), As at (0.000, 0.250, 0.000) and As at (0.250, 0.000, 0.500).

For the calculated total energy, the calculation gives -6.40 eV per atom.

[19]
DFT (PBE) results for a relaxed Dy3Lu4Ni2Te2 crystal.

It has space group Imm2 (No. 44), with a = 3.814 Å, b = 15.355 Å, c = 9.456 Å, α = 90.00°, β = 90.00° and γ = 90.00°. The asymmetric unit holds Dy at (0.000, 0.000, 0.000), Dy at (0.000, 0.314, 0.624), Lu at (0.000, 0.134, 0.419), Lu at (0.000, 0.354, 0.271), Ni at (0.000, 0.237, 0.929), Te at (0.000, 0.000, 0.661) and Te at (0.000, 0.500, 0.769).

For the energy above the most stable polymorph in this dataset, the calculation gives 17 meV per atom.

[20]
DFT (PBE) results for a relaxed Gd3Tc5N12 crystal.

It has space group Ia-3d (No. 230), with a = 12.655 Å, b = 12.655 Å, c = 12.655 Å, α = 90.00°, β = 90.00° and γ = 90.00°. The asymmetric unit holds Gd at (0.000, 0.250, 0.125), Tc at (0.000, 0.000, 0.000), Tc at (0.000, 0.250, 0.375) and N at (0.033, 0.051, 0.649).

For the calculated total energy, the calculation gives -8.73 eV per atom.

[21]
DFT (PBE) results for a relaxed BaTb2Se3 crystal.

It has space group P-3m1 (No. 164), with a = 4.2292 Å, b = 4.2292 Å, c = 10.6729 Å, α = 90.00°, β = 90.00° and γ = 120.00°. The asymmetric unit holds Ba at (0.0000, 0.0000, 0.0000), Tb at (0.3333, 0.6667, 0.6484), Se at (0.0000, 0.0000, 0.5000) and Se at (0.3333, 0.6667, 0.2002).

For the calculated total energy, the calculation gives -5.45 eV per atom.

[22]
DFT (PBE) results for a relaxed ZrGaFeAg crystal.

It has space group F-43m (No. 216), with a = 6.430 Å, b = 6.430 Å, c = 6.430 Å, α = 90.00°, β = 90.00° and γ = 90.00°. The asymmetric unit holds Zr at (0.000, 0.000, 0.000), Ga at (0.000, 0.000, 0.500), Fe at (0.250, 0.250, 0.750) and Ag at (0.250, 0.250, 0.250).

For the energy above the most stable polymorph in this dataset, the calculation gives 0 meV per atom.